1.
Material: ZnBi2O5
Method: DFT, PBEsol
State: relaxed

Calculated volume, Å³ per cell: 900
Fermi-level density of states, states/eV/f.u.: 0.48

Structure (CIF):
```
data_ZnBi2O5
_space_group_name_H-M_alt 'P b c a'
_space_group_IT_number 61
_cell_length_a 5.526
_cell_length_b 16.271
_cell_length_c 10.014
_cell_angle_alpha 90.00
_cell_angle_beta 90.00
_cell_angle_gamma 90.00
loop_
_space_group_symop_operation_xyz
'x,y,z'
'-x,-y,-z'
'-x+1/2,-y,z+1/2'
'x+1/2,y,-z+1/2'
'x+1/2,-y+1/2,-z'
'-x+1/2,y+1/2,z'
'-x,y+1/2,-z+1/2'
'x,-y+1/2,z+1/2'
loop_
_atom_site_label
_atom_site_type_symbol
_atom_site_fract_x
_atom_site_fract_y
_atom_site_fract_z
Zn1 Zn 0.049 0.101 0.114
Bi1 Bi 0.058 0.244 0.863
Bi2 Bi 0.108 0.061 0.628
O1 O 0.083 0.001 0.219
O2 O 0.111 0.658 0.786
O3 O 0.192 0.547 0.008
O4 O 0.205 0.642 0.500
O5 O 0.224 0.191 0.196
```

2.
Material: ZnBi2O5
Method: DFT, PBEsol
State: relaxed

Calculated volume, Å³ per cell: 500
Fermi-level density of states, states/eV/f.u.: 3.01

Structure (CIF):
```
data_ZnBi2O5
_space_group_name_H-M_alt 'C m c m'
_space_group_IT_number 63
_space_group_name_Hall '-C 2c 2'
_cell_length_a 4.294
_cell_length_b 10.828
_cell_length_c 10.750
_cell_angle_alpha 90.00
_cell_angle_beta 90.00
_cell_angle_gamma 90.00
loop_
_atom_site_label
_atom_site_type_symbol
_atom_site_fract_x
_atom_site_fract_y
_atom_site_fract_z
Zn1 Zn 0.000 0.186 0.250
Bi1 Bi 0.000 0.140 0.571
O1 O 0.000 0.055 0.116
O2 O 0.000 0.243 0.750
O3 O 0.000 0.304 0.081
```

3.
Material: ZnBi2O5
Method: DFT, PBEsol
State: relaxed

Calculated volume, Å³ per cell: 468

Structure (CIF):
```
data_ZnBi2O5
_space_group_name_H-M_alt 'P 1 21/c 1'
_space_group_IT_number 14
_cell_length_a 5.353
_cell_length_b 11.362
_cell_length_c 8.230
_cell_angle_alpha 90.00
_cell_angle_beta 110.68
_cell_angle_gamma 90.00
loop_
_space_group_symop_operation_xyz
'x,y,z'
'-x,-y,-z'
'-x,y+1/2,-z+1/2'
'x,-y+1/2,z+1/2'
loop_
_atom_site_label
_atom_site_type_symbol
_atom_site_fract_x
_atom_site_fract_y
_atom_site_fract_z
Zn1 Zn 0.081 0.094 0.144
Bi1 Bi 0.273 0.588 0.038
Bi2 Bi 0.444 0.139 0.883
O1 O 0.022 0.512 0.169
O2 O 0.159 0.736 0.467
O3 O 0.249 0.512 0.513
O4 O 0.436 0.169 0.247
O5 O 0.476 0.080 0.621
```

List of relative energies, unit meV per atom: 1 0; 2 71; 3 47